1.
Here is Ce2PuPa after structural relaxation from Alexandria via LeMat-Bulk. Energies are from GGA-PBE.

Its formation energy is 0.2164 eV per atom. The polymorph energy (0 for the lowest one) is 0.65 eV/f.u. The total energy comes out at -8.707 eV/atom.

a = 4.316 Å, b = 4.262 Å, c = 10.981 Å
α = 90.00°, β = 101.44°, γ = 90.00°
Space group P2_1/m (No. 11)
Unique sites:
Ce 0.034 0.250 0.133 (multiplicity 2)
Ce 0.399 0.250 0.872 (multiplicity 2)
Pu 0.325 0.750 0.614 (multiplicity 2)
Pa 0.203 0.750 0.368 (multiplicity 2)



2.
Here is Ce4PuPa4 after structural relaxation from Alexandria via LeMat-Bulk. Energies are from GGA-PBE.

Its formation energy is 0.0466 eV per atom. The total energy comes out at -8.403 eV/atom.

a = 9.923 Å, b = 9.923 Å, c = 4.626 Å
α = 90.00°, β = 90.00°, γ = 90.00°
Space group I4/mmm (No. 139)
Unique sites:
Ce 0.000 0.331 0.000 (multiplicity 8)
Pu 0.000 0.000 0.000 (multiplicity 2)
Pa 0.165 0.165 0.500 (multiplicity 8)



3.
Here is Ce2PuPa8 after structural relaxation from Alexandria via LeMat-Bulk. Energies are from GGA-PBE.

Its formation energy is 0.2268 eV per atom. The total energy comes out at -9.061 eV/atom.

a = 16.978 Å, b = 6.187 Å, c = 5.354 Å
α = 90.00°, β = 90.70°, γ = 90.00°
Space group C2/m (No. 12)
Unique sites:
Ce 0.225 0.000 0.260 (multiplicity 4)
Pu 0.000 0.500 0.000 (multiplicity 2)
Pa 0.057 0.000 0.239 (multiplicity 4)
Pa 0.103 0.250 0.721 (multiplicity 8)
Pa 0.134 0.500 0.237 (multiplicity 4)



4.
Here is CePu2Pa3 after structural relaxation from Alexandria via LeMat-Bulk. Energies are from GGA-PBE.

Its formation energy is 0.2857 eV per atom. The total energy comes out at -10.229 eV/atom.

a = 8.209 Å, b = 3.515 Å, c = 9.871 Å
α = 90.00°, β = 95.36°, γ = 90.00°
Space group P2_1/m (No. 11)
Unique sites:
Ce 0.190 0.250 0.291 (multiplicity 2)
Pu 0.015 0.750 0.156 (multiplicity 2)
Pu 0.443 0.250 0.566 (multiplicity 2)
Pa 0.192 0.750 0.959 (multiplicity 2)
Pa 0.221 0.750 0.613 (multiplicity 2)
Pa 0.485 0.250 0.823 (multiplicity 2)



5.
Here is Ce2PuPa6 after structural relaxation from Alexandria via LeMat-Bulk. Energies are from GGA-PBE.

Its formation energy is 0.1003 eV per atom. The polymorph energy (0 for the lowest one) is 0.00 eV/f.u. The total energy comes out at -9.141 eV/atom.

a = 8.538 Å, b = 16.220 Å, c = 3.254 Å
α = 90.00°, β = 100.29°, γ = 90.00°
Space group C2/m (No. 12)
Unique sites:
Ce 0.000 0.165 0.000 (multiplicity 4)
Pu 0.000 0.000 0.500 (multiplicity 2)
Pa 0.163 0.333 0.328 (multiplicity 8)
Pa 0.166 0.500 0.827 (multiplicity 4)



6.
Here is CePu2Pa after structural relaxation from Alexandria via LeMat-Bulk. Energies are from GGA-PBE.

Its formation energy is 0.1068 eV per atom. The polymorph energy (0 for the lowest one) is 0.00 eV/f.u. The total energy comes out at -10.917 eV/atom.

a = 3.305 Å, b = 3.305 Å, c = 9.120 Å
α = 90.00°, β = 90.00°, γ = 90.00°
Space group P4/mmm (No. 123)
Unique sites:
Ce 0.000 0.000 0.000 (multiplicity 1)
Pu 0.500 0.500 0.266 (multiplicity 2)
Pa 0.000 0.000 0.500 (multiplicity 1)